# 1
## K2In (PBEsol)

Data for an optimized crystal structure of K2In.

Properties
Space group   Cmcm, No. 63
M_tot   0.0 Bohr magnetons per cell
Excess energy over the best structure of this formula in the dataset   0 meV per atom
Crystal system   orthorhombic

abc: 4.922 6.262 9.391
angles: 109.47 90.00 90.00
Fractional coordinates of all 6 atoms:
K1 0.250 0.196 0.392
K2 0.750 0.421 0.843
K3 0.250 0.579 0.157
K4 0.750 0.804 0.608
In1 0.250 0.960 0.920
In2 0.750 0.040 0.080

# 2
## KIn2 (PBEsol)

Data for an optimized crystal structure of KIn2.

Properties
Space group   Cmcm, No. 63
M_tot   0.0 Bohr magnetons per cell
VASP energy   -0.180 Ry/atom
Crystal system   orthorhombic

abc: 5.290 5.375 7.035
angles: 112.46 90.00 90.00
Fractional coordinates of all 6 atoms:
In1 0.250 0.851 0.380
In2 0.250 0.471 0.620
In3 0.750 0.149 0.620
In4 0.750 0.529 0.380
K1 0.250 0.206 0.000
K2 0.750 0.794 0.000

# 3
## KIn3 (PBEsol)

Data for an optimized crystal structure of KIn3.

Properties
Space group   Pmmn, No. 59
M_tot   0.0 Bohr magnetons per cell
VASP energy   -0.194 Ry/atom
Crystal system   orthorhombic

abc: 4.633 6.376 8.258
angles: 90.00 90.00 90.00
Fractional coordinates of all 8 atoms:
K1 0.000 0.000 0.572
K2 0.500 0.500 0.428
In1 0.000 0.269 0.120
In2 0.500 0.000 0.238
In3 0.000 0.500 0.762
In4 0.500 0.769 0.880
In5 0.000 0.731 0.120
In6 0.500 0.231 0.880

# 4
## KIn3 (PBEsol)

Data for an optimized crystal structure of KIn3.

Properties
Space group   P-6m2, No. 187
M_tot   0.0 Bohr magnetons per cell
VASP energy   -0.185 Ry/atom
Crystal system   hexagonal

abc: 3.637 3.637 10.273
angles: 90.00 90.00 120.00
Fractional coordinates of all 4 atoms:
K1 0.333 0.667 0.500
In1 0.000 0.000 0.781
In2 0.000 0.000 0.219
In3 0.333 0.667 0.000

# 5
## KIn2 (PBEsol)

Data for an optimized crystal structure of KIn2.

Properties
Space group   P-3m1, No. 164
M_tot   0.0 Bohr magnetons per cell
VASP energy   -0.171 Ry/atom
Crystal system   trigonal

abc: 3.553 3.553 8.313
angles: 90.00 90.00 120.00
Fractional coordinates of all 3 atoms:
In1 0.667 0.333 0.354
In2 0.333 0.667 0.646
K1 0.000 0.000 0.000

# 6
## KIn2 (PBEsol)

Data for an optimized crystal structure of KIn2.

Properties
Space group   I4/mmm, No. 139
M_tot   0.0 Bohr magnetons per cell
VASP energy   -0.179 Ry/atom
Crystal system   tetragonal

abc: 3.389 3.389 8.073
angles: 102.12 102.12 90.00
Fractional coordinates of all 3 atoms:
In1 0.680 0.680 0.359
In2 0.320 0.320 0.641
K1 0.000 0.000 0.000

# 7
## KIn4 (PBEsol)

Data for an optimized crystal structure of KIn4.

Properties
Space group   I4/mmm, No. 139
M_tot   0.0 Bohr magnetons per cell
Excess energy over the best structure of this formula in the dataset   0 meV per atom
Crystal system   tetragonal

abc: 4.782 4.782 7.160
angles: 109.51 109.51 90.00
Fractional coordinates of all 5 atoms:
In1 0.612 0.612 0.224
In2 0.388 0.388 0.776
In3 0.250 0.750 0.500
In4 0.750 0.250 0.500
K1 0.000 0.000 0.000

# 8
## KIn (PBEsol)

Data for an optimized crystal structure of KIn.

Properties
Space group   Cm, No. 8
M_tot   0.0 Bohr magnetons per cell
VASP energy   -0.155 Ry/atom
Crystal system   monoclinic

abc: 4.102 6.973 8.380
angles: 109.44 90.00 107.11
Fractional coordinates of all 6 atoms:
In1 0.001 0.002 0.030
In2 0.364 0.727 0.777
In3 0.398 0.796 0.183
K1 0.688 0.376 0.921
K2 0.002 0.005 0.550
K3 0.714 0.427 0.372